a.
Computed, not measured: ScNb2V after structural relaxation at the PBE level of DFT.

abc: 5.868 5.868 5.868
angles: 103.67 103.67 121.83
Fractional coordinates of all 8 atoms:
Sc 0.000 0.000 0.000
Sc 0.750 0.250 0.500
Nb 0.152 0.125 0.527
Nb 0.375 0.848 0.973
Nb 0.598 0.625 0.473
Nb 0.875 0.402 0.027
V 0.250 0.750 0.500
V 0.500 0.500 0.000

Computed properties:
Theoretical density = 6.24 g cm⁻³
Space group = No. 122
DOS at the Fermi energy = 8.771 states/eV per cell

b.
Computed, not measured: ScNb2V after structural relaxation at the PBE level of DFT.

abc: 3.223 3.223 7.050
angles: 90.00 90.00 90.00
Fractional coordinates of all 4 atoms:
Sc 0.000 0.000 0.000
Nb 0.500 0.500 0.291
Nb 0.500 0.500 0.709
V 0.000 0.000 0.500

Computed properties:
Theoretical density = 6.39 g cm⁻³
Space group = No. 123
DOS at the Fermi energy = 5.922 states/eV per cell

b takes first place; second place is 41.2 kJ/mol of atoms up.

a.
Computed, not measured: ScNbV2 after structural relaxation at the PBE level of DFT.

abc: 5.720 5.720 5.720
angles: 103.88 103.88 121.35
Fractional coordinates of all 8 atoms:
Sc 0.000 0.000 0.000
Sc 0.750 0.250 0.500
Nb 0.250 0.750 0.500
Nb 0.500 0.500 0.000
V 0.137 0.625 0.012
V 0.375 0.387 0.512
V 0.613 0.125 0.988
V 0.875 0.863 0.488

Computed properties:
Theoretical density = 5.71 g cm⁻³
Space group = No. 122
DOS at the Fermi energy = 10.849 states/eV per cell

b.
Computed, not measured: ScNbV2 after structural relaxation at the PBE level of DFT.

abc: 3.242 3.242 6.606
angles: 90.00 90.00 90.00
Fractional coordinates of all 4 atoms:
Sc 0.000 0.000 0.000
Nb 0.000 0.000 0.500
V 0.500 0.500 0.291
V 0.500 0.500 0.709

Computed properties:
Theoretical density = 5.73 g cm⁻³
Space group = No. 123
DOS at the Fermi energy = 6.278 states/eV per cell

b takes first place; second place is 47.5 kJ/mol of atoms up.

a.
Computed, not measured: ScNbV2 after structural relaxation at the PBE level of DFT.

abc: 4.590 4.590 4.590
angles: 60.00 60.00 60.00
Fractional coordinates of all 4 atoms:
Sc 0.000 0.000 0.000
Nb 0.500 0.500 0.500
V 0.250 0.250 0.250
V 0.750 0.750 0.750

Computed properties:
Theoretical density = 5.82 g cm⁻³
Space group = No. 225
DOS at the Fermi energy = 5.969 states/eV per cell

b.
Computed, not measured: ScNbV2 after structural relaxation at the PBE level of DFT.

abc: 4.590 4.590 3.190
angles: 90.00 90.00 90.00
Fractional coordinates of all 4 atoms:
Sc 0.000 0.000 0.000
Nb 0.500 0.500 0.000
V 0.000 0.500 0.500
V 0.500 0.000 0.500

Computed properties:
Theoretical density = 5.92 g cm⁻³
Space group = No. 123
DOS at the Fermi energy = 7.812 states/eV per cell

a takes first place; second place is 3.7 kJ/mol of atoms up.